Entry 1:
Here is a relaxed structure of TlCr2Co from the Alexandria database. Energies are from PBE.

Values from the calculation:
The total energy comes out at -26.83 eV/cell. As for the energy of formation from the pure elements: 472 meV/atom. The calculation puts the density of states at the Fermi level at 0.368 states/eV per atom. The value obtained for the calculated density is 10.2 Mg/m³.

Cell and atoms, written as CIF:
```
data_TlCr2Co
_chemical_formula_sum 'Tl1 Cr2 Co1'
_cell_length_a 3.740
_cell_length_b 3.740
_cell_length_c 4.262
_cell_angle_alpha 90.00
_cell_angle_beta 90.00
_cell_angle_gamma 90.00
_space_group_name_H-M_alt 'P 1'
_space_group_IT_number 1
loop_
_space_group_symop_operation_xyz
'x,y,z'
loop_
_atom_site_label
_atom_site_fract_x
_atom_site_fract_y
_atom_site_fract_z
_atom_site_occupancy
Tl1 0.000 0.000 0.000 1
Cr1 0.000 0.500 0.500 1
Cr2 0.500 0.000 0.500 1
Co1 0.500 0.500 0.000 1
```


Entry 2:
Here is a relaxed structure of Mn2RuAu from the Alexandria database. Energies are from PBE.

Values from the calculation:
The total energy comes out at -30.24 eV/cell. As for the energy of formation from the pure elements: 164 meV/atom. The calculation puts the density of states at the Fermi level at 0.837 states/eV per atom. The value obtained for the calculated density is 11.9 Mg/m³.

Cell and atoms, written as CIF:
```
data_Mn2RuAu
_chemical_formula_sum 'Mn2 Ru1 Au1'
_cell_length_a 2.748
_cell_length_b 2.748
_cell_length_c 7.532
_cell_angle_alpha 90.00
_cell_angle_beta 90.00
_cell_angle_gamma 90.00
_space_group_name_H-M_alt 'P 1'
_space_group_IT_number 1
loop_
_space_group_symop_operation_xyz
'x,y,z'
loop_
_atom_site_label
_atom_site_fract_x
_atom_site_fract_y
_atom_site_fract_z
_atom_site_occupancy
Mn1 0.000 0.000 0.000 1
Mn2 0.500 0.500 0.228 1
Ru1 0.000 0.000 0.431 1
Au1 0.500 0.500 0.726 1
```


Entry 3:
Here is a relaxed structure of BiClF from the Alexandria database. Energies are from PBE.

Values from the calculation:
The total energy comes out at -11.02 eV/cell. The formation energy from raw total energies comes out at -1.141 eV per atom. The calculation puts the density of states at the Fermi level at 0.201 states/eV per atom. The value obtained for the calculated density is 6.1 Mg/m³.

Cell and atoms, written as CIF:
```
data_BiClF
_chemical_formula_sum 'Bi1 Cl1 F1'
_cell_length_a 5.921
_cell_length_b 5.921
_cell_length_c 5.921
_cell_angle_alpha 143.79
_cell_angle_beta 143.79
_cell_angle_gamma 52.14
_space_group_name_H-M_alt 'P 1'
_space_group_IT_number 1
loop_
_space_group_symop_operation_xyz
'x,y,z'
loop_
_atom_site_label
_atom_site_fract_x
_atom_site_fract_y
_atom_site_fract_z
_atom_site_occupancy
Bi1 0.000 0.000 0.000 1
Cl1 0.234 0.234 0.000 1
F1 0.518 0.518 0.000 1
```


Entry 4:
Here is a relaxed structure of Sm2CoCuC from the Alexandria database. Energies are from PBE.

Values from the calculation:
The total energy comes out at -31.08 eV/cell. As for the energy of formation from the pure elements: -242 meV/atom. The calculation puts the density of states at the Fermi level at 0.435 states/eV per atom. The value obtained for the calculated density is 7.7 Mg/m³.

Cell and atoms, written as CIF:
```
data_Sm2CoCuC
_chemical_formula_sum 'Sm2 Co1 Cu1 C1'
_cell_length_a 5.096
_cell_length_b 5.096
_cell_length_c 3.612
_cell_angle_alpha 90.00
_cell_angle_beta 90.00
_cell_angle_gamma 90.00
_space_group_name_H-M_alt 'P 1'
_space_group_IT_number 1
loop_
_space_group_symop_operation_xyz
'x,y,z'
loop_
_atom_site_label
_atom_site_fract_x
_atom_site_fract_y
_atom_site_fract_z
_atom_site_occupancy
Sm1 0.000 0.500 0.000 1
Sm2 0.500 0.000 0.000 1
Co1 0.000 0.000 0.500 1
Cu1 0.500 0.500 0.500 1
C1 0.000 0.000 0.000 1
```


Entry 5:
Here is a relaxed structure of KTlMo2 from the Alexandria database. Energies are from PBE.

Values from the calculation:
The total energy comes out at -21.44 eV/cell. As for the energy of formation from the pure elements: 920 meV/atom. The calculation puts the density of states at the Fermi level at 0.933 states/eV per atom. The value obtained for the calculated density is 6.4 Mg/m³.

Cell and atoms, written as CIF:
```
data_KTlMo2
_chemical_formula_sum 'K1 Tl1 Mo2'
_cell_length_a 5.615
_cell_length_b 5.615
_cell_length_c 6.576
_cell_angle_alpha 97.62
_cell_angle_beta 97.62
_cell_angle_gamma 33.63
_space_group_name_H-M_alt 'P 1'
_space_group_IT_number 1
loop_
_space_group_symop_operation_xyz
'x,y,z'
loop_
_atom_site_label
_atom_site_fract_x
_atom_site_fract_y
_atom_site_fract_z
_atom_site_occupancy
K1 0.000 0.000 0.000 1
Tl1 0.500 0.500 0.500 1
Mo1 0.233 0.233 0.622 1
Mo2 0.767 0.767 0.378 1
```


Entry 6:
Here is a relaxed structure of Ba4NaPt2 from the Alexandria database. Energies are from PBE.

Values from the calculation:
The total energy comes out at -48.12 eV/cell. As for the energy of formation from the pure elements: -424 meV/atom. The calculation puts the density of states at the Fermi level at 0.761 states/eV per atom. The value obtained for the calculated density is 5.1 Mg/m³.

Cell and atoms, written as CIF:
```
data_Ba4NaPt2
_chemical_formula_sum 'Ba8 Na2 Pt4'
_cell_length_a 9.478
_cell_length_b 9.478
_cell_length_c 9.372
_cell_angle_alpha 119.56
_cell_angle_beta 119.56
_cell_angle_gamma 82.27
_space_group_name_H-M_alt 'P 1'
_space_group_IT_number 1
loop_
_space_group_symop_operation_xyz
'x,y,z'
loop_
_atom_site_label
_atom_site_fract_x
_atom_site_fract_y
_atom_site_fract_z
_atom_site_occupancy
Ba1 0.247 0.753 0.534 1
Ba2 0.247 0.753 0.966 1
Ba3 0.307 0.313 0.560 1
Ba4 0.313 0.307 0.060 1
Ba5 0.687 0.693 0.940 1
Ba6 0.693 0.687 0.440 1
Ba7 0.753 0.247 0.034 1
Ba8 0.753 0.247 0.466 1
Na1 0.013 0.987 0.250 1
Na2 0.987 0.013 0.750 1
Pt1 0.000 0.500 0.500 1
Pt2 0.500 0.000 0.000 1
Pt3 0.500 0.500 0.000 1
Pt4 0.500 0.500 0.500 1
```


Entry 7:
Here is a relaxed structure of KTl2Sb from the Alexandria database. Energies are from PBE.

Values from the calculation:
The total energy comes out at -10.62 eV/cell. The formation energy from raw total energies comes out at -0.166 eV per atom. The calculation puts the density of states at the Fermi level at 0.306 states/eV per atom. The value obtained for the calculated density is 6.9 Mg/m³.

Cell and atoms, written as CIF:
```
data_KTl2Sb
_chemical_formula_sum 'K1 Tl2 Sb1'
_cell_length_a 7.011
_cell_length_b 7.011
_cell_length_c 7.011
_cell_angle_alpha 149.68
_cell_angle_beta 127.66
_cell_angle_gamma 61.69
_space_group_name_H-M_alt 'P 1'
_space_group_IT_number 1
loop_
_space_group_symop_operation_xyz
'x,y,z'
loop_
_atom_site_label
_atom_site_fract_x
_atom_site_fract_y
_atom_site_fract_z
_atom_site_occupancy
K1 0.000 0.000 0.000 1
Tl1 0.281 0.781 0.500 1
Tl2 0.719 0.219 0.500 1
Sb1 0.500 0.500 0.000 1
```


Entry 8:
Here is a relaxed structure of Mn2VRu2 from the Alexandria database. Energies are from PBE.

Values from the calculation:
The total energy comes out at -90.90 eV/cell. As for the energy of formation from the pure elements: 112 meV/atom. The calculation puts the density of states at the Fermi level at 1.188 states/eV per atom. The value obtained for the calculated density is 9.2 Mg/m³.

Cell and atoms, written as CIF:
```
data_Mn2VRu2
_chemical_formula_sum 'Mn4 V2 Ru4'
_cell_length_a 6.981
_cell_length_b 6.981
_cell_length_c 2.679
_cell_angle_alpha 90.00
_cell_angle_beta 90.00
_cell_angle_gamma 90.00
_space_group_name_H-M_alt 'P 1'
_space_group_IT_number 1
loop_
_space_group_symop_operation_xyz
'x,y,z'
loop_
_atom_site_label
_atom_site_fract_x
_atom_site_fract_y
_atom_site_fract_z
_atom_site_occupancy
Mn1 0.120 0.380 0.000 1
Mn2 0.380 0.880 0.000 1
Mn3 0.620 0.120 0.000 1
Mn4 0.880 0.620 0.000 1
V1 0.000 0.000 0.000 1
V2 0.500 0.500 0.000 1
Ru1 0.175 0.675 0.500 1
Ru2 0.325 0.175 0.500 1
Ru3 0.675 0.825 0.500 1
Ru4 0.825 0.325 0.500 1
```


Entry 9:
Here is a relaxed structure of BaSb3 from the Alexandria database. Energies are from PBE.

Values from the calculation:
The total energy comes out at -31.77 eV/cell. The formation energy from raw total energies comes out at -0.398 eV per atom. The calculation puts the density of states at the Fermi level at 0.644 states/eV per atom. The value obtained for the calculated density is 6.0 Mg/m³.

Cell and atoms, written as CIF:
```
data_BaSb3
_chemical_formula_sum 'Ba2 Sb6'
_cell_length_a 6.010
_cell_length_b 7.079
_cell_length_c 6.558
_cell_angle_alpha 90.00
_cell_angle_beta 90.00
_cell_angle_gamma 90.00
_space_group_name_H-M_alt 'P 1'
_space_group_IT_number 1
loop_
_space_group_symop_operation_xyz
'x,y,z'
loop_
_atom_site_label
_atom_site_fract_x
_atom_site_fract_y
_atom_site_fract_z
_atom_site_occupancy
Ba1 0.250 0.250 0.109 1
Ba2 0.750 0.750 0.891 1
Sb1 0.250 0.530 0.561 1
Sb2 0.250 0.750 0.167 1
Sb3 0.250 0.970 0.561 1
Sb4 0.750 0.030 0.439 1
Sb5 0.750 0.250 0.833 1
Sb6 0.750 0.470 0.439 1
```


Entry 10:
Here is a relaxed structure of Co2As from the Alexandria database. Energies are from PBE.

Values from the calculation:
The total energy comes out at -77.18 eV/cell. As for the energy of formation from the pure elements: -145 meV/atom. The calculation puts the density of states at the Fermi level at 1.146 states/eV per atom. The value obtained for the calculated density is 9.0 Mg/m³.

Cell and atoms, written as CIF:
```
data_Co2As
_chemical_formula_sum 'Co8 As4'
_cell_length_a 5.537
_cell_length_b 3.691
_cell_length_c 7.000
_cell_angle_alpha 90.00
_cell_angle_beta 90.00
_cell_angle_gamma 90.00
_space_group_name_H-M_alt 'P 1'
_space_group_IT_number 1
loop_
_space_group_symop_operation_xyz
'x,y,z'
loop_
_atom_site_label
_atom_site_fract_x
_atom_site_fract_y
_atom_site_fract_z
_atom_site_occupancy
Co1 0.037 0.250 0.185 1
Co2 0.150 0.250 0.565 1
Co3 0.350 0.750 0.065 1
Co4 0.463 0.750 0.685 1
Co5 0.537 0.250 0.315 1
Co6 0.650 0.250 0.935 1
Co7 0.850 0.750 0.435 1
Co8 0.963 0.750 0.815 1
As1 0.238 0.250 0.883 1
As2 0.262 0.750 0.383 1
As3 0.738 0.250 0.617 1
As4 0.762 0.750 0.117 1
```


Entry 11:
Here is a relaxed structure of CaErZnPd from the Alexandria database. Energies are from PBE.

Values from the calculation:
The total energy comes out at -15.31 eV/cell. As for the energy of formation from the pure elements: -570 meV/atom. The calculation puts the density of states at the Fermi level at 0.619 states/eV per atom. The value obtained for the calculated density is 6.9 Mg/m³.

Cell and atoms, written as CIF:
```
data_CaErZnPd
_chemical_formula_sum 'Ca1 Er1 Zn1 Pd1'
_cell_length_a 3.544
_cell_length_b 3.544
_cell_length_c 7.231
_cell_angle_alpha 90.00
_cell_angle_beta 90.00
_cell_angle_gamma 90.00
_space_group_name_H-M_alt 'P 1'
_space_group_IT_number 1
loop_
_space_group_symop_operation_xyz
'x,y,z'
loop_
_atom_site_label
_atom_site_fract_x
_atom_site_fract_y
_atom_site_fract_z
_atom_site_occupancy
Ca1 0.000 0.000 0.000 1
Er1 0.000 0.000 0.481 1
Zn1 0.500 0.500 0.720 1
Pd1 0.500 0.500 0.279 1
```


Entry 12:
Here is a relaxed structure of PmSm7Dy4 from the Alexandria database. Energies are from PBE.

Values from the calculation:
The total energy comes out at -53.65 eV/cell. As for the energy of formation from the pure elements: 212 meV/atom. The calculation puts the density of states at the Fermi level at 1.654 states/eV per atom. The value obtained for the calculated density is 7.6 Mg/m³.

Cell and atoms, written as CIF:
```
data_PmSm7Dy4
_chemical_formula_sum 'Pm1 Sm7 Dy4'
_cell_length_a 8.594
_cell_length_b 8.594
_cell_length_c 9.393
_cell_angle_alpha 114.64
_cell_angle_beta 114.64
_cell_angle_gamma 40.62
_space_group_name_H-M_alt 'P 1'
_space_group_IT_number 1
loop_
_space_group_symop_operation_xyz
'x,y,z'
loop_
_atom_site_label
_atom_site_fract_x
_atom_site_fract_y
_atom_site_fract_z
_atom_site_occupancy
Pm1 0.000 0.000 0.000 1
Sm1 0.084 0.084 0.447 1
Sm2 0.210 0.210 0.234 1
Sm3 0.214 0.214 0.882 1
Sm4 0.500 0.500 0.000 1
Sm5 0.786 0.786 0.118 1
Sm6 0.790 0.790 0.766 1
Sm7 0.916 0.916 0.553 1
Dy1 0.329 0.329 0.614 1
Dy2 0.428 0.428 0.302 1
Dy3 0.572 0.572 0.698 1
Dy4 0.671 0.671 0.386 1
```